The following is a DFT calculation (PBE-GGA) of an optimized crystal structure of TaAl2BiB.

Magnetic moment ... 0.0 μB/f.u.
Energy ... -4.43 eV/atom
Energy of formation ... 7.7 eV/f.u.

POSCAR file:
```
TaAl2BiB
1.0
-3.001 -0.540 -4.083
-3.958 -1.821 3.150
-1.700 4.764 0.619
B Al Bi Ta
1 2 1 1
Direct
0.500 0.500 0.500
0.000 0.000 0.500
0.500 0.000 0.000
0.000 0.500 0.000
0.000 0.000 0.000
```



The following is a DFT calculation (PBE-GGA) of an optimized crystal structure of Be2CoAu.

Magnetic moment ... 0.0 μB/f.u.
Energy ... -4.51 eV/atom
Energy of formation ... -0.2 eV/f.u.

POSCAR file:
```
Be2CoAu
1.0
2.828 0.000 0.000
0.000 2.828 0.000
0.000 0.000 5.530
Co Au Be
1 1 2
Direct
0.000 0.000 0.432
0.500 0.500 0.776
0.000 0.000 0.037
0.500 0.500 0.255
```



The following is a DFT calculation (PBE-GGA) of an optimized crystal structure of LiYMn3.

Magnetic moment ... 11.3 μB/f.u.
Energy ... -5.71 eV/atom
Energy of formation ... 7.3 eV/f.u.
Energy relative to the lowest polymorph listed for this composition ... 0.777 eV/atom

POSCAR file:
```
LiYMn3
1.0
-4.760 -0.378 1.976
0.607 -5.109 0.486
1.918 0.680 4.750
Y Mn Li
1 3 1
Direct
0.000 0.000 0.000
0.000 0.500 0.000
0.000 0.000 0.500
0.500 0.000 0.000
0.500 0.500 0.500
```



The following is a DFT calculation (PBE-GGA) of an optimized crystal structure of CaLaAg2.

Magnetic moment ... 0.0 μB/f.u.
Energy ... -3.26 eV/atom
Energy of formation ... -0.4 eV/f.u.
Energy relative to the lowest polymorph listed for this composition ... 0.216 eV/atom

POSCAR file:
```
CaLaAg2
1.0
6.144 -0.013 0.000
2.859 5.438 0.000
-4.501 -2.712 3.182
Ca Ag La
1 2 1
Direct
0.500 0.500 0.000
0.000 0.000 0.000
0.250 0.750 0.500
0.750 0.250 0.500
```



The following is a DFT calculation (PBE-GGA) of an optimized crystal structure of Tb4AlInAg2.

Magnetic moment ... 0.0 μB/f.u.
Energy ... -4.20 eV/atom
Energy of formation ... -2.9 eV/f.u.

POSCAR file:
```
Tb4AlInAg2
1.0
5.226 0.000 0.000
2.613 4.525 0.000
2.613 1.508 8.539
Tb Al In Ag
4 1 1 2
Direct
0.377 0.377 0.868
0.873 0.873 0.382
0.127 0.127 0.618
0.623 0.623 0.132
0.500 0.500 0.500
0.000 0.000 0.000
0.750 0.750 0.749
0.250 0.250 0.251
```



The following is a DFT calculation (PBE-GGA) of an optimized crystal structure of CaTcIrO6.

E_form (uncorrected) ... -1.528 eV per atom
Magnetic moment ... 0.0 μB/f.u.
Energy ... -7.19 eV/atom

POSCAR file:
```
CaTcIrO6
1.0
5.302 0.000 0.000
-2.651 4.592 0.000
0.000 0.000 9.783
Ca Tc Ir O
2 2 2 12
Direct
0.000 0.000 0.000
0.000 0.000 0.500
0.667 0.333 0.250
0.333 0.667 0.750
0.333 0.667 0.250
0.667 0.333 0.750
0.630 0.623 0.143
0.993 0.370 0.143
0.370 0.993 0.643
0.007 0.630 0.857
0.377 0.370 0.357
0.993 0.623 0.357
0.623 0.993 0.857
0.630 0.007 0.357
0.007 0.377 0.643
0.377 0.007 0.143
0.623 0.630 0.643
0.370 0.377 0.857
```